No. 1
NdEr2Zn, optimized geometry, DFT PBE-GGA; energy of formation from the pure elements = -0.028 eV per atom
1.0
4.754 0.000 0.000
0.000 4.754 0.000
0.000 0.000 4.780
Nd Er Zn
1 2 1
Direct
0.000 0.000 0.000 Nd
0.000 0.500 0.500 Er
0.500 0.000 0.500 Er
0.500 0.500 0.000 Zn


No. 2
SrLaGd2, optimized geometry, DFT PBE-GGA; energy of formation from the pure elements = 0.191 eV per atom
1.0
1.836 1.060 12.940
-1.836 1.060 12.940
0.000 -2.120 12.940
Sr La Gd
1 1 2
Direct
0.000 0.000 0.000 Sr
0.500 0.500 0.500 La
0.091 0.091 0.091 Gd
0.909 0.909 0.909 Gd